No. 1
Pm6GeSb3 | the Alexandria database | PBE | relaxed; calculated total energy = -5.237 eV/atom; crystal system = trigonal; uncorrected formation energy = -0.69 eV per atom; M_tot = 0.000 Bohr magnetons per cell
1.0
-6.1801 -3.2719 -5.1859
-5.7125 -1.3443 6.4306
-4.1277 7.5869 -1.0928
Pm Sb Ge
12 6 2
direct
0.4159 0.1747 0.5085
0.7332 0.1150 0.8324
0.2668 0.8850 0.1676
0.1150 0.8324 0.7332
0.5085 0.4159 0.1747
0.4915 0.5841 0.8253
0.8253 0.4915 0.5841
0.8324 0.7332 0.1150
0.1676 0.2668 0.8850
0.8850 0.1676 0.2668
0.1747 0.5085 0.4159
0.5841 0.8253 0.4915
0.5731 0.0498 0.1895
0.1895 0.5731 0.0498
0.8105 0.4269 0.9502
0.4269 0.9502 0.8105
0.9502 0.8105 0.4269
0.0498 0.1895 0.5731
0.5000 0.5000 0.5000
0.0000 0.0000 0.0000

No. 2
Pm5GeSb2 | the Alexandria database | PBE | relaxed; calculated total energy = -5.109 eV/atom; crystal system = orthorhombic; uncorrected formation energy = -0.53 eV per atom; M_tot = 0.000 Bohr magnetons per cell
1.0
6.1352 0.0000 0.0000
-3.0676 6.6988 0.0000
0.0000 0.0000 14.0629
Pm Sb Ge
10 4 2
direct
0.6987 0.3974 0.2500
0.3530 0.7060 0.4215
0.9458 0.8915 0.6209
0.6470 0.2940 0.9215
0.3013 0.6026 0.7500
0.6470 0.2940 0.5785
0.0542 0.1085 0.1209
0.0542 0.1085 0.3791
0.9458 0.8915 0.8791
0.3530 0.7060 0.0785
0.1720 0.3440 0.5684
0.1720 0.3440 0.9316
0.8280 0.6560 0.0684
0.8280 0.6560 0.4316
0.7770 0.5540 0.7500
0.2230 0.4460 0.2500

No. 3
Pm4GeSb2 | the Alexandria database | PBE | relaxed; calculated total energy = -5.339 eV/atom; crystal system = monoclinic; energy above the lowest structure with this stoichiometry = 0.000 eV per atom; uncorrected formation energy = -0.79 eV per atom; M_tot = 1.339 Bohr magnetons per cell
1.0
4.4490 0.0000 0.0000
0.0000 7.5656 -0.1125
-2.2245 -3.7972 7.0495
Pm Sb Ge
4 2 1
direct
0.1199 0.8000 0.2398
0.3769 0.7348 0.7538
0.8801 0.2000 0.7602
0.6231 0.2652 0.2462
0.2644 0.2637 0.5289
0.7356 0.7363 0.4711
0.0000 0.0000 0.0000

No. 4
Pm7Ge3Sb | the Alexandria database | PBE | relaxed; calculated total energy = -5.217 eV/atom; crystal system = monoclinic; uncorrected formation energy = -0.56 eV per atom; M_tot = 0.001 Bohr magnetons per cell
1.0
-2.9301 -5.4810 3.1757
5.8305 -2.9243 -2.8392
2.9342 3.4482 5.4870
Pm Ge Sb
7 3 1
direct
0.7144 0.3859 0.9617
0.7994 0.8383 0.8383
0.0000 0.5000 0.5000
0.2006 0.1617 0.1617
0.7144 0.9617 0.3859
0.2856 0.0383 0.6141
0.2856 0.6141 0.0383
0.0000 0.7710 0.2290
0.0000 0.2290 0.7710
0.5000 0.0000 0.0000
0.5000 0.5000 0.5000

No. 5
PmGeSb2 | the Alexandria database | PBE | relaxed; calculated total energy = -4.836 eV/atom; crystal system = tetragonal; energy above the lowest structure with this stoichiometry = 0.000 eV per atom; uncorrected formation energy = -0.43 eV per atom; M_tot = 0.000 Bohr magnetons per cell
1.0
-0.2896 -3.8681 1.4264
-0.3991 -1.3969 -3.8691
6.0979 -0.6076 -0.4097
Ge Pm Sb
1 1 2
direct
0.5000 0.5000 0.0000
0.5000 0.5000 0.5000
0.0000 0.0000 0.7581
0.0000 0.0000 0.2419

No. 6
Pm5GeSb5 | the Alexandria database | PBE | relaxed; calculated total energy = -5.206 eV/atom; crystal system = monoclinic; uncorrected formation energy = -0.75 eV per atom; M_tot = 0.000 Bohr magnetons per cell
1.0
6.2330 0.0000 0.0000
-3.1165 7.0221 -0.1333
0.0000 -2.7809 8.4053
Pm Sb Ge
5 5 1
direct
0.5000 0.0000 0.0000
0.1645 0.3291 0.3257
0.8355 0.6709 0.6743
0.1650 0.3299 0.8412
0.8350 0.6701 0.1588
0.6558 0.3117 0.8148
0.3442 0.6883 0.1852
0.0000 0.0000 0.5000
0.3289 0.6578 0.6644
0.6711 0.3422 0.3356
0.0000 0.0000 0.0000

No. 7
Pm6Ge3SbSe2 | the Alexandria database | PBE | relaxed; calculated total energy = -5.695 eV/atom; crystal system = monoclinic; uncorrected formation energy = -1.24 eV per atom; M_tot = 0.000 Bohr magnetons per cell
1.0
-1.8113 -0.6706 -3.7905
-1.1801 -8.3337 2.0382
-6.9259 4.5613 4.8900
Pm Ge Se Sb
6 3 2 1
direct
0.3283 0.9180 0.6566
0.9999 0.7389 0.9997
0.6717 0.0820 0.3434
0.6655 0.5877 0.3309
0.3345 0.4123 0.6691
0.0001 0.2611 0.0003
0.8339 0.1684 0.6677
0.1661 0.8316 0.3323
0.5000 0.5000 0.0000
0.8320 0.6645 0.6640
0.1680 0.3355 0.3360
0.5000 0.0000 0.0000

No. 8
Pm8GeSb4Se3 | the Alexandria database | PBE | relaxed; calculated total energy = -5.767 eV/atom; crystal system = trigonal; uncorrected formation energy = -1.42 eV per atom; M_tot = 0.000 Bohr magnetons per cell
1.0
-8.2037 -2.8348 0.8145
2.7553 -8.2310 -0.8958
3.4763 5.1110 6.1471
Se Pm Ge Sb
3 8 1 4
direct
0.5000 0.5000 0.0000
0.5000 0.5000 0.5000
0.0000 0.5000 0.5000
0.2431 0.7373 0.9942
0.2489 0.2627 0.0058
0.7569 0.2627 0.5138
0.7569 0.2627 0.0058
0.7476 0.7428 0.4952
0.7511 0.7373 0.9942
0.2524 0.2572 0.5048
0.2431 0.7373 0.4862
0.0000 0.5000 0.0000
0.5000 0.0000 0.5000
0.0000 0.0000 0.5000
0.0000 0.0000 0.0000
0.5000 0.0000 0.0000

No. 9
Pm6GeSb3Se2 | the Alexandria database | PBE | relaxed; calculated total energy = -5.743 eV/atom; crystal system = monoclinic; uncorrected formation energy = -1.37 eV per atom; M_tot = 0.000 Bohr magnetons per cell
1.0
-1.9710 3.8826 0.2844
-4.5696 -1.7895 -7.2380
-4.5571 -5.2662 6.8370
Pm Se Sb Ge
6 2 3 1
direct
0.9984 0.7621 0.9968
0.0016 0.2379 0.0032
0.6609 0.0849 0.3218
0.3391 0.9151 0.6782
0.3322 0.4209 0.6644
0.6678 0.5791 0.3356
0.1673 0.3353 0.3345
0.8327 0.6647 0.6655
0.8312 0.1674 0.6624
0.5000 0.5000 0.0000
0.1688 0.8326 0.3376
0.5000 0.0000 0.0000

No. 10
Pm6Ge2SbSe3 | the Alexandria database | PBE | relaxed; calculated total energy = -5.813 eV/atom; crystal system = monoclinic; uncorrected formation energy = -1.45 eV per atom; M_tot = 0.000 Bohr magnetons per cell
1.0
-0.1886 -3.7613 2.0507
1.4088 -4.1108 -7.4104
8.7145 3.2471 2.2736
Pm Se Ge Sb
6 3 2 1
direct
0.6696 0.5781 0.3393
0.3304 0.4219 0.6607
0.9954 0.7405 0.9908
0.6703 0.0964 0.3405
0.0046 0.2595 0.0092
0.3297 0.9036 0.6595
0.8352 0.1663 0.6703
0.1648 0.8337 0.3297
0.5000 0.5000 0.0000
0.8329 0.6654 0.6657
0.1671 0.3346 0.3343
0.5000 0.0000 0.0000

No. 11
Pm8Ge3SbTe4 | the Alexandria database | PBE | relaxed; calculated total energy = -5.546 eV/atom; crystal system = trigonal; uncorrected formation energy = -1.26 eV per atom; M_tot = 0.000 Bohr magnetons per cell
1.0
-8.4966 0.3734 2.1739
-1.0518 -8.4013 -2.6682
6.1456 1.9218 5.9663
Ge Pm Te Sb
3 8 4 1
direct
0.5000 0.5000 0.0000
0.0000 0.5000 0.5000
0.5000 0.5000 0.5000
0.2587 0.2761 0.5174
0.2476 0.7277 0.9800
0.7413 0.7239 0.4826
0.7524 0.2723 0.0200
0.2676 0.2723 0.0200
0.7324 0.7277 0.9800
0.2476 0.7276 0.4952
0.7524 0.2724 0.5048
0.5000 0.0000 0.5000
0.0000 0.0000 0.0000
0.5000 0.0000 0.0000
0.0000 0.0000 0.5000
0.0000 0.5000 0.0000

No. 12
Pm6GeSb2Te3 | the Alexandria database | PBE | relaxed; calculated total energy = -5.546 eV/atom; crystal system = monoclinic; uncorrected formation energy = -1.31 eV per atom; M_tot = 0.000 Bohr magnetons per cell
1.0
-2.8609 -1.3949 3.0943
2.5303 -8.4491 -1.4695
7.5047 3.7195 5.4314
Te Pm Sb Ge
3 6 2 1
direct
0.5000 0.5000 0.0000
0.1697 0.8346 0.3394
0.8303 0.1654 0.6606
0.3438 0.9175 0.6876
0.6677 0.5779 0.3354
0.3323 0.4221 0.6646
0.6562 0.0825 0.3124
0.0004 0.2277 0.0008
0.9996 0.7723 0.9992
0.8336 0.6670 0.6673
0.1664 0.3330 0.3327
0.5000 0.0000 0.0000

No. 13
Pm12ScGe6 | the Alexandria database | PBE | relaxed; calculated total energy = -5.274 eV/atom; crystal system = cubic; DFT formation energy = -0.4822 eV per atom; M_tot = 5.187 Bohr magnetons per cell
1.0
-1.9143 7.2781 -4.8828
-6.2256 -6.2947 -1.4479
0.0856 2.1753 8.7028
Pm Ge Sc
12 6 1
direct
0.4821 0.1894 0.2927
0.1894 0.7073 0.8967
0.8967 0.1894 0.7073
0.5179 0.8106 0.7073
0.8106 0.7073 0.5179
0.7073 0.5179 0.8106
0.1894 0.2927 0.4821
0.7073 0.8967 0.1894
0.8106 0.2927 0.1033
0.2927 0.1033 0.8106
0.2927 0.4821 0.1894
0.1033 0.8106 0.2927
0.8798 0.3798 0.5000
0.5000 0.1202 0.6202
0.5000 0.8798 0.3798
0.1202 0.6202 0.5000
0.3798 0.5000 0.8798
0.6202 0.5000 0.1202
0.0000 0.0000 0.0000

No. 14
Pm4ScGe5 | the Alexandria database | PBE | relaxed; calculated total energy = -5.465 eV/atom; crystal system = tetragonal; DFT formation energy = -0.6228 eV per atom; M_tot = 0.000 Bohr magnetons per cell
1.0
-5.0433 -3.1379 0.2618
-1.4275 -3.8390 -5.9981
0.8130 -6.7197 2.6340
Ge Pm Sc
5 4 1
direct
0.0977 0.6173 0.1889
0.9039 0.3827 0.8111
0.2867 0.8111 0.6173
0.7150 0.1889 0.3827
0.5020 0.0000 0.0000
0.5953 0.6053 0.2058
0.4064 0.3947 0.7942
0.8011 0.7942 0.6053
0.2006 0.2058 0.3947
0.0015 0.0000 0.0000

No. 15
Pm3ScGe2 | the Alexandria database | PBE | relaxed; calculated total energy = -5.477 eV/atom; crystal system = monoclinic; DFT formation energy = -0.5069 eV per atom; energy above the lowest structure with this stoichiometry = 0.135 eV per atom; M_tot = 0.001 Bohr magnetons per cell
1.0
4.3538 0.0000 0.0000
2.1769 8.2182 0.3721
2.1769 2.2722 10.0800
Ge Pm Sc
4 6 2
direct
0.8523 0.4711 0.8243
0.6147 0.2135 0.5571
0.1477 0.5289 0.1757
0.3853 0.7865 0.4429
0.3548 0.2853 0.0052
0.0507 0.1294 0.7692
0.2316 0.1621 0.3748
0.7684 0.8379 0.6252
0.9493 0.8706 0.2308
0.6452 0.7147 0.9948
0.5764 0.5060 0.3413
0.4236 0.4940 0.6587

No. 16
PmSc2Ge2 | the Alexandria database | PBE | relaxed; calculated total energy = -5.928 eV/atom; crystal system = monoclinic; DFT formation energy = -0.5981 eV per atom; M_tot = 0.002 Bohr magnetons per cell
1.0
-1.4485 3.4440 -1.3644
-2.0197 -2.4046 -3.9252
-9.2046 -1.0724 7.0648
Sc Pm Ge
4 2 4
direct
0.2500 0.2516 0.5128
0.2500 0.8402 0.8962
0.7500 0.1598 0.1038
0.7500 0.7484 0.4872
0.7500 0.3148 0.7572
0.2500 0.6852 0.2428
0.2500 0.3445 0.9646
0.2500 0.7906 0.6602
0.7500 0.2094 0.3398
0.7500 0.6555 0.0354

No. 17
Pm5ScGe4 | the Alexandria database | PBE | relaxed; calculated total energy = -5.460 eV/atom; crystal system = monoclinic; DFT formation energy = -0.6051 eV per atom; M_tot = 0.000 Bohr magnetons per cell
1.0
-4.1946 -1.0998 -2.4060
3.6375 -3.4409 -4.7685
-2.1957 -2.6698 10.1590
Ge Pm Sc
4 5 1
direct
0.3250 0.8984 0.6499
0.0078 0.2486 0.0156
0.9922 0.7514 0.9844
0.6750 0.1016 0.3501
0.1645 0.3228 0.3289
0.8358 0.1728 0.6716
0.8355 0.6772 0.6711
0.5000 0.5000 0.0000
0.1642 0.8272 0.3284
0.5000 0.0000 0.0000

No. 18
Pm3Sc2Ge4 | the Alexandria database | PBE | relaxed; calculated total energy = -5.756 eV/atom; crystal system = monoclinic; DFT formation energy = -0.7137 eV per atom; M_tot = 0.002 Bohr magnetons per cell
1.0
4.2790 0.0000 0.0000
-2.1395 5.6092 -0.1837
0.0000 -0.9090 9.1988
Ge Sc Pm
4 2 3
direct
0.6839 0.3677 0.0864
0.0812 0.1624 0.6208
0.9188 0.8376 0.3792
0.3161 0.6323 0.9136
0.3214 0.6429 0.2140
0.6786 0.3571 0.7860
0.6254 0.2507 0.3870
0.3746 0.7493 0.6130
0.0000 0.0000 0.0000

No. 19
Pm2ScGe6 | the Alexandria database | PBE | relaxed; calculated total energy = -5.086 eV/atom; crystal system = orthorhombic; DFT formation energy = -0.2489 eV per atom; M_tot = 0.552 Bohr magnetons per cell
1.0
4.1219 0.0006 0.0005
2.0603 7.6651 0.3657
2.0603 2.0202 7.4031
Ge Sc Pm
6 1 2
direct
0.7379 0.0407 0.5940
0.5561 0.6644 0.3356
0.3724 0.4059 0.9593
0.5561 0.3356 0.6644
0.3724 0.9593 0.4059
0.7379 0.5940 0.0407
0.5556 0.0000 0.0000
0.9104 0.6451 0.6451
0.2010 0.3549 0.3549

No. 20
PmSc3Ge2 | the Alexandria database | PBE | relaxed; calculated total energy = -6.098 eV/atom; crystal system = monoclinic; DFT formation energy = -0.6015 eV per atom; M_tot = 1.916 Bohr magnetons per cell
1.0
4.2390 0.0000 0.0000
-2.1195 9.2842 -0.3635
0.0000 -4.5990 7.1907
Sc Pm Ge
6 2 4
direct
0.3531 0.7062 0.1933
0.0569 0.1139 0.4197
0.9431 0.8861 0.5803
0.6469 0.2938 0.8067
0.6909 0.3819 0.4922
0.3091 0.6181 0.5078
0.8836 0.7671 0.9125
0.1164 0.2329 0.0875
0.5140 0.0279 0.1746
0.4860 0.9721 0.8254
0.7648 0.5296 0.2403
0.2352 0.4704 0.7597